BaNa2In6: relaxed, PBE-GGA.

The total energy is -2.503 eV/atom. The spin magnetization is 0.0000 μB per atom. The calculation puts the formation energy at -1.5 eV per formula unit. As for the offset from the most stable computed form: 17 meV per atom.

The structure belongs to space group Immm (No. 71); the cell edges are 4.766, 8.310 and 14.079 Å and the angles 90.00°, 90.00° and 90.00°. Symmetry generates all atoms from Ba at (0.000, 0.000, 0.000), Na at (0.000, 0.500, 0.120), In at (0.000, 0.172, 0.500) and In at (0.000, 0.311, 0.308).